Entry 1:
A plane-wave DFT calculation with PBE was carried out for a geometry-optimized BeAs2O structure.

Structure (POSCAR):
```
BeAs2O
1.0
1.462 -3.903 -0.366
-2.461 -3.251 0.935
-1.423 -2.490 -3.046
Be As O
1 2 1
Cartesian
0.000 0.000 0.000 Be
-1.817 -7.233 -1.858 As
-0.606 -2.411 -0.619 As
-1.211 -4.822 -1.238 O
```

## Properties
The value obtained for the energy above the most stable polymorph in this dataset is 420 meV per atom. As for the symmetry: No. 225. The value obtained for the uncorrected formation energy is 0.44 eV per atom.

=====

Entry 2:
A plane-wave DFT calculation with PBE was carried out for a geometry-optimized Ho4Er5Cd structure.

Structure (POSCAR):
```
Ho4Er5Cd
1.0
-1.342 -0.999 -5.404
-7.614 -2.216 -0.660
-2.672 6.617 -3.521
Ho Er Cd
4 5 1
Cartesian
-8.033 2.205 -7.070 Ho
-6.647 0.160 -4.076 Ho
-3.493 1.273 -2.104 Ho
-4.879 3.318 -5.099 Ho
-9.635 -0.539 -6.122 Er
-1.871 4.031 -2.973 Er
-7.658 5.081 -4.691 Er
-3.848 -1.588 -4.404 Er
-0.889 -0.661 -3.578 Er
-0.243 -0.181 -0.978 Cd
```

## Properties
The value obtained for the energy above the most stable polymorph in this dataset is 193 meV per atom. The formation energy is 0.149 eV per atom. As for the symmetry: No. 107.

=====

Entry 3:
A plane-wave DFT calculation with PBE was carried out for a geometry-optimized Sc3Pa structure.

Structure (POSCAR):
```
Sc3Pa
1.0
-3.232 3.408 0.472
-2.723 -2.138 -3.209
1.028 -2.924 4.547
Sc Pa
3 1
Cartesian
-2.977 0.635 -1.368 Sc
-2.590 0.560 1.825 Sc
-2.336 -2.213 -0.015 Sc
0.000 0.000 0.000 Pa
```

## Properties
The value obtained for the energy above the most stable polymorph in this dataset is 144 meV per atom. The formation energy is 0.168 eV per atom. As for the symmetry: No. 139.

=====

Entry 4:
A plane-wave DFT calculation with PBE was carried out for a geometry-optimized TaTi2Pt2 structure.

Structure (POSCAR):
```
TaTi2Pt2
1.0
7.524 0.000 0.000
0.000 7.524 0.000
0.000 0.000 2.924
Pt Ta Ti
4 2 4
Cartesian
4.820 6.465 1.462 Pt
2.704 1.058 1.462 Pt
1.058 4.820 1.462 Pt
6.465 2.704 1.462 Pt
0.000 0.000 0.000 Ta
3.762 3.762 0.000 Ta
1.200 2.562 0.000 Ti
6.324 4.962 0.000 Ti
2.562 6.324 0.000 Ti
4.962 1.200 0.000 Ti
```

## Properties
The value obtained for the energy above the most stable polymorph in this dataset is 83 meV per atom. The formation energy is -0.534 eV per atom. As for the symmetry: No. 127.

=====

Entry 5:
A plane-wave DFT calculation with PBE was carried out for a geometry-optimized LaTbSm2Er2 structure.

Structure (POSCAR):
```
LaTbSm2Er2
1.0
3.539 0.000 0.000
0.000 16.279 0.000
0.000 0.000 6.983
Sm La Er Tb
4 2 4 2
Cartesian
1.770 13.666 1.766 Sm
0.000 10.752 5.257 Sm
0.000 5.526 1.726 Sm
1.770 2.613 5.217 Sm
1.770 8.139 3.491 La
0.000 0.000 0.000 La
1.770 13.763 5.242 Er
0.000 5.623 5.233 Er
0.000 10.655 1.750 Er
1.770 2.516 1.741 Er
1.770 8.139 0.000 Tb
0.000 0.000 3.491 Tb
```

## Properties
The formation energy is 0.159 eV per atom. As for the symmetry: No. 58.

=====

Entry 6:
A plane-wave DFT calculation with PBE was carried out for a geometry-optimized Ba2UBr8 structure.

Structure (POSCAR):
```
Ba2UBr8
1.0
-2.272 -4.315 1.407
6.329 -2.932 1.225
-2.373 7.092 8.765
Br U Ba
8 1 2
Cartesian
1.844 -1.761 6.729 Br
1.464 -0.678 0.283 Br
1.355 1.962 8.202 Br
-0.159 1.606 4.668 Br
0.330 -2.117 3.195 Br
-1.893 3.467 7.574 Br
3.578 -3.622 3.823 Br
0.221 0.523 11.114 Br
-1.136 -2.158 0.704 U
3.048 -0.283 4.052 Ba
-1.362 0.128 7.345 Ba
```

## Properties
As for the symmetry: No. 71. The value obtained for the uncorrected formation energy is -1.70 eV per atom.

=====

no.,E_tot (eV per atom),magnetic moment (μB/cell)
1,-4.06,0.00
2,-4.06,0.00
3,-6.95,0.00
4,-8.48,0.00
5,-4.53,0.00
6,-4.29,2.00